No. 1
Compound: TaCuAg
Source: Alexandria via LeMat-Bulk
Functional: PBE
Structure: optimized geometry

a = 4.8507 Å, b = 4.8507 Å, c = 4.8507 Å
α = 147.13°, β = 128.80°, γ = 62.19°
Last column: nearest neighbours and their distance in Å.
Sites, in units of the cell vectors:
1 Ta 0.3297 0.3297 0.0000  5 Ag 2.72-2.89, 2 Ta 2.74, 5 Cu 2.81-2.84
2 Cu 0.6683 0.6683 0.0000  2 Cu 2.74, 5 Ag 2.77-2.86, 5 Ta 2.81-2.84
3 Ag 0.0020 0.0020 0.0000  5 Ta 2.72-2.89, 2 Ag 2.74, 5 Cu 2.77-2.86

**Space group**: Imm2 (44)
**Spin magnetization**: 0.0 μB/f.u.
**ΔE to the lowest computed polymorph**: 244 meV per atom
**Energy**: -17.85 eV for the cell shown



No. 2
Compound: Ta4CuAg
Source: Alexandria via LeMat-Bulk
Functional: PBE
Structure: optimized geometry

a = 5.4245 Å, b = 5.4245 Å, c = 5.4245 Å
α = 60.00°, β = 60.00°, γ = 60.00°
Last column: nearest neighbours and their distance in Å.
Sites, in units of the cell vectors:
1 Ta 0.3745 0.3745 0.8764  6 Ta 2.70-2.72
2 Ta 0.8764 0.3745 0.3745  6 Ta 2.70-2.72
3 Ta 0.3745 0.8764 0.3745  6 Ta 2.70-2.72
4 Ta 0.3745 0.3745 0.3745  6 Ta 2.70-2.72
5 Ag 0.7500 0.7500 0.7500  12 Ta 3.18, 4 Cu 3.32
6 Cu 0.0000 0.0000 0.0000  12 Ta 3.18, 4 Ag 3.32

**Space group**: F-43m (216)
**Spin magnetization**: 0.0 μB/f.u.
**Energy**: -50.46 eV for the cell shown



No. 3
Compound: TaCuAg
Source: Alexandria via LeMat-Bulk
Functional: PBE
Structure: optimized geometry

a = 4.3508 Å, b = 4.3508 Å, c = 4.3508 Å
α = 60.00°, β = 60.00°, γ = 60.00°
Last column: nearest neighbours and their distance in Å.
Sites, in units of the cell vectors:
1 Cu 0.5000 0.5000 0.5000  4 Ta 2.66
2 Ag 0.0000 0.0000 0.0000  4 Ta 2.66
3 Ta 0.7500 0.7500 0.7500  4 Ag 2.66, 4 Cu 2.66

**Space group**: F-43m (216)
**Spin magnetization**: 0.0 μB/f.u.
**ΔE to the lowest computed polymorph**: 930 meV per atom
**Energy**: -15.79 eV for the cell shown